[1]
Below is HgSb2Mo after structural relaxation, with properties calculated at the GGA-PBE level.

Results
Formation energy without anion corrections, kJ per mole of atoms: 36.75
Crystal system: monoclinic
Magnetic moment, μB/f.u.: 0.00
Distance to the lowest polymorph of the same formula, meV/atom: 260.0
DOS(E_F), states/eV/atom: 0.72

abc: 3.606 4.667 5.571
angles: 90.00 108.66 90.00
Positions (direct):
Hg: 0.000 0.000 0.000
Sb: 0.455 0.500 0.909
Sb: 0.735 0.000 0.471
Mo: 0.168 0.500 0.337

[2]
Below is HgSbMo2 after structural relaxation, with properties calculated at the GGA-PBE level.

Results
Formation energy without anion corrections, kJ per mole of atoms: 53.16
Crystal system: trigonal
Magnetic moment, μB/f.u.: 0.00
Distance to the lowest polymorph of the same formula, meV/atom: 283.5
DOS(E_F), states/eV/atom: 0.69

abc: 9.135 9.135 9.135
angles: 19.57 19.57 19.57
Positions (direct):
Hg: 0.000 0.000 0.000
Sb: 0.500 0.500 0.500
Mo: 0.246 0.246 0.246
Mo: 0.754 0.754 0.754

[3]
Below is Hg2SbMo after structural relaxation, with properties calculated at the GGA-PBE level.

Results
Formation energy without anion corrections, kJ per mole of atoms: 53.22
Crystal system: tetragonal
Magnetic moment, μB/f.u.: 0.96
DOS(E_F), states/eV/atom: 0.34

abc: 5.427 5.427 5.427
angles: 133.23 133.23 68.29
Positions (direct):
Hg: 0.000 0.000 0.000
Hg: 0.750 0.250 0.500
Sb: 0.500 0.500 0.000
Mo: 0.250 0.750 0.500

[4]
Below is HgSb2Mo after structural relaxation, with properties calculated at the GGA-PBE level.

Results
Formation energy without anion corrections, kJ per mole of atoms: 66.02
Crystal system: orthorhombic
Magnetic moment, μB/f.u.: 1.28
Distance to the lowest polymorph of the same formula, meV/atom: 563.3
DOS(E_F), states/eV/atom: 0.88

abc: 3.656 4.802 5.078
angles: 90.00 90.00 90.00
Positions (direct):
Hg: 0.000 0.000 0.000
Sb: 0.000 0.500 0.500
Sb: 0.500 0.500 0.000
Mo: 0.500 0.000 0.500

[5]
Below is Hg2SbMo after structural relaxation, with properties calculated at the GGA-PBE level.

Results
Formation energy without anion corrections, kJ per mole of atoms: 59.06
Crystal system: trigonal
Magnetic moment, μB/f.u.: 0.01
DOS(E_F), states/eV/atom: 0.72

abc: 9.855 9.855 9.855
angles: 18.88 18.88 18.88
Positions (direct):
Hg: 0.243 0.243 0.243
Hg: 0.757 0.757 0.757
Sb: 0.000 0.000 0.000
Mo: 0.500 0.500 0.500

[6]
Below is Hg2SbMo after structural relaxation, with properties calculated at the GGA-PBE level.

Results
Formation energy without anion corrections, kJ per mole of atoms: 37.57
Crystal system: orthorhombic
Magnetic moment, μB/f.u.: 0.34
DOS(E_F), states/eV/atom: 0.76

abc: 7.402 7.402 7.402
angles: 157.11 140.77 45.90
Positions (direct):
Hg: 0.000 0.000 0.000
Hg: 0.665 0.165 0.500
Sb: 0.357 0.357 0.000
Mo: 0.185 0.685 0.500

[7]
Below is HgSb2Mo after structural relaxation, with properties calculated at the GGA-PBE level.

Results
Formation energy without anion corrections, kJ per mole of atoms: 52.83
Crystal system: tetragonal
Magnetic moment, μB/f.u.: 1.75
Distance to the lowest polymorph of the same formula, meV/atom: 426.6
DOS(E_F), states/eV/atom: 0.63

abc: 5.295 5.295 5.295
angles: 128.25 128.25 76.23
Positions (direct):
Hg: 0.000 0.000 0.000
Sb: 0.250 0.750 0.500
Sb: 0.750 0.250 0.500
Mo: 0.500 0.500 0.000

[8]
Below is Hg2SbMo after structural relaxation, with properties calculated at the GGA-PBE level.

Results
Formation energy without anion corrections, kJ per mole of atoms: 68.94
Crystal system: cubic
Magnetic moment, μB/f.u.: 2.36
DOS(E_F), states/eV/atom: 0.71

abc: 5.008 5.008 5.008
angles: 60.00 60.00 60.00
Positions (direct):
Hg: 0.000 0.000 0.000
Hg: 0.250 0.250 0.250
Sb: 0.500 0.500 0.500
Mo: 0.750 0.750 0.750

[9]
Below is HgSbMo after structural relaxation, with properties calculated at the GGA-PBE level.

Results
Formation energy without anion corrections, kJ per mole of atoms: 61.68
Crystal system: hexagonal
Magnetic moment, μB/f.u.: 0.00
Distance to the lowest polymorph of the same formula, meV/atom: 202.8
DOS(E_F), states/eV/atom: 0.72

abc: 4.856 4.856 3.032
angles: 90.00 90.00 120.00
Positions (direct):
Hg: 0.000 0.000 0.000
Sb: 0.333 0.667 0.500
Mo: 0.667 0.333 0.500

[10]
Below is HgSb2Mo after structural relaxation, with properties calculated at the GGA-PBE level.

Results
Formation energy without anion corrections, kJ per mole of atoms: 55.86
Crystal system: tetragonal
Magnetic moment, μB/f.u.: 1.76
Distance to the lowest polymorph of the same formula, meV/atom: 458.0
DOS(E_F), states/eV/atom: 0.52

abc: 7.804 7.804 7.804
angles: 131.33 131.33 71.28
Positions (direct):
Hg: 0.000 0.000 0.000
Hg: 0.750 0.250 0.500
Sb: 0.161 0.625 0.036
Sb: 0.375 0.411 0.536
Sb: 0.589 0.125 0.964
Sb: 0.875 0.839 0.464
Mo: 0.250 0.750 0.500
Mo: 0.500 0.500 0.000

[11]
Below is Hg2SbMo after structural relaxation, with properties calculated at the GGA-PBE level.

Results
Formation energy without anion corrections, kJ per mole of atoms: 36.51
Crystal system: orthorhombic
Magnetic moment, μB/f.u.: 0.00
DOS(E_F), states/eV/atom: 0.50

abc: 7.521 7.521 7.521
angles: 156.85 145.40 42.05
Positions (direct):
Hg: 0.187 0.187 0.000
Hg: 0.813 0.813 0.000
Sb: 0.500 0.000 0.500
Mo: 0.000 0.500 0.500

[12]
Below is HgSbMoSe2 after structural relaxation, with properties calculated at the GGA-PBE level.

Results
Formation energy without anion corrections, kJ per mole of atoms: 127.43
Crystal system: tetragonal
Magnetic moment, μB/f.u.: 2.94
DOS(E_F), states/eV/atom: 1.06

abc: 5.200 5.200 5.519
angles: 90.00 90.00 90.00
Positions (direct):
Hg: 0.000 0.000 0.000
Sb: 0.000 0.000 0.500
Mo: 0.500 0.500 0.500
Se: 0.000 0.500 0.000
Se: 0.500 0.000 0.000

[13]
Below is SnHgSb2Mo after structural relaxation, with properties calculated at the GGA-PBE level.

Results
Formation energy without anion corrections, kJ per mole of atoms: 118.71
Crystal system: tetragonal
Magnetic moment, μB/f.u.: 3.42
DOS(E_F), states/eV/atom: 0.75

abc: 5.678 5.678 5.377
angles: 90.00 90.00 90.00
Positions (direct):
Sn: 0.000 0.000 0.000
Hg: 0.500 0.500 0.500
Sb: 0.000 0.500 0.000
Sb: 0.500 0.000 0.000
Mo: 0.000 0.000 0.500

[14]
Below is ScHgMo3 after structural relaxation, with properties calculated at the GGA-PBE level.

Results
Crystal system: cubic
Magnetic moment, μB/f.u.: 0.00
Distance to the lowest polymorph of the same formula, meV/atom: 357.4
DOS(E_F), states/eV/atom: 2.29
DFT formation energy, eV per formula unit: 11.07

abc: 4.948 4.948 4.948
angles: 90.00 90.00 90.00
Positions (direct):
Sc: 0.000 0.000 0.000
Hg: 0.500 0.500 0.500
Mo: 0.000 0.500 0.500
Mo: 0.500 0.000 0.500
Mo: 0.500 0.500 0.000

[15]
Below is ScHg4Mo after structural relaxation, with properties calculated at the GGA-PBE level.

Results
Crystal system: cubic
Magnetic moment, μB/f.u.: 2.77
DOS(E_F), states/eV/atom: 0.81
DFT formation energy, eV per formula unit: 2.75

abc: 5.700 5.700 5.700
angles: 60.00 60.00 60.00
Positions (direct):
Sc: 0.000 0.000 0.000
Hg: 0.126 0.625 0.625
Hg: 0.625 0.126 0.625
Hg: 0.625 0.625 0.126
Hg: 0.625 0.625 0.625
Mo: 0.250 0.250 0.250